## Si2SbSe (GGA-PBEsol)

Data for Si2SbSe after structural relaxation.

Computed properties:
Formation energy without anion corrections: 16 kJ/mol of atoms
Crystal system: orthorhombic
Offset from the most stable computed form: 0.00 eV/f.u.
Space group: Cmmm

Structure (extended XYZ):
```
4
Lattice="-0.192 3.138 -2.312 -2.911 -2.301 -2.880 -2.564 2.232 3.242" Properties=species:S:1:pos:R:3 pbc="T T T"
Si -2.650 1.104 1.719
Si -2.825 -1.173 -1.357
Se -0.096 1.569 -1.156
Sb -2.834 1.535 -0.975
```